Pm2Cu3Si4Pd: optimized geometry, PBE.

abc: 4.097 4.097 10.015
angles: 90.00 90.00 90.00
Space group P-4m2 (No. 115)
Asymmetric unit:
Pm 0.000 0.500 0.245 x2
Cu 0.000 0.500 0.873 x2
Cu 0.500 0.500 0.500 x1
Si 0.000 0.000 0.000 x1
Si 0.000 0.500 0.635 x2
Si 0.500 0.500 0.000 x1
Pd 0.000 0.000 0.500 x1

Computed properties:
E_form (uncorrected)   -623.5 meV/atom

TbHfPtAu: optimized geometry, PBE.

abc: 6.916 6.916 6.916
angles: 90.00 90.00 90.00
Space group F-43m (No. 216)
Asymmetric unit:
Tb 0.000 0.000 0.000 x4
Hf 0.000 0.000 0.500 x4
Pt 0.250 0.250 0.750 x4
Au 0.250 0.250 0.250 x4

Computed properties:
ΔE_f   -789 meV/atom

Ca2YMn: optimized geometry, PBE.

abc: 7.524 7.524 7.524
angles: 90.00 90.00 90.00
Space group Fm-3m (No. 225)
Asymmetric unit:
Ca 0.250 0.250 0.250 x8
Y 0.000 0.000 0.000 x4
Mn 0.000 0.000 0.500 x4

Computed properties:
ΔE_f   864 meV/atom

Mo2CN: optimized geometry, PBE.

abc: 2.831 2.913 5.023
angles: 90.00 90.00 90.00
Space group Pmm2 (No. 25)
Asymmetric unit:
Mo 0.000 0.000 0.000 x1
Mo 0.000 0.500 0.499 x1
C 0.500 0.000 0.332 x1
N 0.500 0.500 0.835 x1

Computed properties:
E_form (uncorrected)   -270.1 meV/atom

LaPm2Nd6: optimized geometry, PBE.

abc: 10.2408 10.2408 3.4992
angles: 90.00 90.00 120.00
Space group P-31m (No. 162)
Asymmetric unit:
La 0.0000 0.0000 0.0000 x1
Pm 0.3333 0.6667 0.5000 x2
Nd 0.0000 0.3398 0.7749 x6

Computed properties:
ΔE_f   134 meV/atom

Zn3P: optimized geometry, PBE.

abc: 5.3788 5.3788 10.1103
angles: 90.00 90.00 120.00
Space group P6_3/mmc (No. 194)
Asymmetric unit:
Zn 0.0000 0.5000 0.0000 x6
Zn 0.1667 0.3333 0.2500 x6
P 0.0000 0.0000 0.0000 x2
P 0.3333 0.6667 0.7500 x2

Computed properties:
ΔE_f   197 meV/atom

Pb3Au5: optimized geometry, PBE.

abc: 9.2537 9.2537 5.2141
angles: 90.00 90.00 120.00
Space group P6_3/mcm (No. 193)
Asymmetric unit:
Pb 0.0000 0.3763 0.2500 x6
Au 0.0000 0.1861 0.7500 x6
Au 0.3333 0.6667 0.0000 x4

Computed properties:
ΔE_f   55 meV/atom

Ca8Cu2H: optimized geometry, PBE.

abc: 13.230 7.073 7.429
angles: 90.00 91.26 90.00
Space group C2/m (No. 12)
Asymmetric unit:
Ca 0.037 0.245 0.237 x8
Ca 0.201 0.500 0.607 x4
Ca 0.211 0.000 0.893 x4
Cu 0.094 0.000 0.544 x4
H 0.000 0.000 0.000 x2

Computed properties:
Raw total energy   -28.37 eV/f.u.

KAgTe2Se4: optimized geometry, PBE.

abc: 7.228 7.228 9.851
angles: 90.00 90.00 90.00
Space group I-42m (No. 121)
Asymmetric unit:
K 0.000 0.000 0.000 x2
Ag 0.000 0.000 0.500 x2
Te 0.000 0.500 0.250 x4
Se 0.218 0.218 0.351 x8

Computed properties:
E_form (uncorrected)   -245.2 meV/atom

LiMg3Cd7: optimized geometry, PBE.

abc: 3.105 30.439 12.734
angles: 90.00 90.00 90.00
Space group Cmcm (No. 63)
Asymmetric unit:
Li 0.000 0.073 0.250 x4
Mg 0.000 0.068 0.548 x8
Mg 0.000 0.182 0.250 x4
Cd 0.000 0.275 0.579 x8
Cd 0.000 0.376 0.599 x8
Cd 0.000 0.427 0.250 x4
Cd 0.000 0.485 0.622 x8

Computed properties:
ΔE_f   0 meV/atom

BaNa2Zn2: optimized geometry, PBE.

abc: 8.934 8.934 3.641
angles: 90.00 90.00 90.00
Space group P4/mbm (No. 127)
Asymmetric unit:
Ba 0.000 0.000 0.000 x2
Na 0.118 0.382 0.000 x4
Zn 0.180 0.680 0.500 x4

Computed properties:
ΔE_f   70 meV/atom

SrTbPm: optimized geometry, PBE.

abc: 3.765 3.765 16.268
angles: 90.00 90.00 90.00
Space group I4mm (No. 107)
Asymmetric unit:
Sr 0.000 0.000 0.000 x2
Tb 0.000 0.000 0.678 x2
Pm 0.000 0.000 0.319 x2

Computed properties:
ΔE_f   108 meV/atom

no.,size of the total moment (μB per atom)
1,0.0000
2,0.0000
3,0.0001
4,0.0000
5,0.0281
6,0.0000
7,0.0000
8,0.0000
9,0.0000
10,0.0000
11,0.0000
12,0.0000